a.
A plane-wave DFT calculation with SCAN was carried out for a PBEsol-optimized structure of VP3O9.

The structure in POSCAR format:
```
VP3O9
1.0
-4.0162 -0.0458 -7.4001
6.3664 -4.2577 -3.4288
-4.0367 -7.8393 2.2394
V P O
4 12 36
Cartesian
-1.1182 -7.4819 -5.6054
-1.4586 -2.5130 -7.3043
-4.1879 -7.5099 -1.0020
3.3915 -6.7811 -3.2673
-2.5936 -10.1153 -6.2173
1.5452 -8.1479 -0.9970
1.8470 -3.8365 -2.7903
-1.1041 -7.4650 -2.3329
-0.5730 -2.7085 -4.2534
-2.4443 -4.6591 -5.3271
-2.0042 -5.3502 -0.7717
-6.1298 -7.3264 -5.9991
-4.2549 -2.5546 -5.4434
0.1387 -10.4297 -6.6123
1.7844 -6.1030 -5.9295
3.6689 -4.1613 -4.8629
-2.5319 -9.6675 -7.7744
0.2848 -6.1011 -5.9369
3.0033 -3.2148 -3.7426
0.2411 -3.1334 -8.2335
-2.0237 -7.2262 -7.3348
2.0886 -5.3128 -2.6354
-0.5813 -7.6924 -3.7140
-2.4185 -8.9237 -5.3180
-0.0010 -7.9738 -1.3018
0.5640 -3.6772 -3.7216
-1.8357 -4.3287 -6.6612
1.6579 -2.9611 -1.5944
-2.4133 -8.0621 -1.8955
-0.3364 -2.3478 -5.6951
-2.4200 -6.0888 -4.8970
-1.1217 -5.8753 -2.0123
-5.2176 -8.4691 -5.6658
-1.7992 -3.7341 -4.1621
-1.3741 -6.2606 0.4129
-0.7966 -1.5580 -3.3179
-3.9682 -4.1412 -5.2682
-1.6642 -3.9163 -0.5306
-3.4494 -7.6539 0.8173
-3.1777 -1.9601 -6.3085
-5.1174 -7.0368 -2.6821
-3.4526 -5.6901 -0.9851
-6.3085 -6.3469 -4.7652
2.3723 -6.2880 -7.3903
4.3337 -5.3433 -4.2147
0.6675 -6.5955 -9.1886
0.1292 -8.9507 -6.3395
2.4363 -7.0580 -4.9664
0.4699 -11.1474 -3.5180
-1.2867 -11.0544 -6.1558
2.3562 -8.1576 -2.2584
2.3320 -4.6236 -5.6554
```

## Properties
SG: P2_12_12_1 (19)



b.
A plane-wave DFT calculation with SCAN was carried out for a PBEsol-optimized structure of VP3O9.

The structure in POSCAR format:
```
VP3O9
1.0
6.4669 0.0000 0.0000
3.2334 6.6039 0.0076
3.2334 0.9448 7.6041
P O V
6 18 2
Cartesian
10.3553 6.5022 7.0652
5.8120 2.7279 3.2594
9.3673 1.7899 6.4101
3.5665 4.6194 2.6119
7.0285 3.7023 5.9441
5.9053 6.5318 2.1458
9.4722 7.0481 5.9865
6.6950 3.2737 2.1807
6.7637 6.2052 0.8595
6.1701 3.3756 4.6578
4.3529 3.3209 3.0684
11.8144 7.0952 6.8742
6.2658 3.2552 7.1553
6.6680 6.0847 3.3570
4.6417 5.5779 1.9371
8.2921 2.7483 5.7354
6.7439 1.4481 0.0327
9.4233 5.2225 3.8385
3.8086 1.3856 5.2941
2.6583 4.2152 1.4959
7.4594 5.1341 5.8808
2.2409 1.3598 2.0750
5.6992 1.2378 3.3451
10.4680 5.0122 7.1509
8.1504 6.5247 4.6134
8.0169 2.7503 0.8076
```

## Properties
SG: Cc (9)



Most favorable structure: b. The second most favorable one is 18 meV/atom above it.



a.
A plane-wave DFT calculation with SCAN was carried out for a PBEsol-optimized structure of P2W2O11.

The structure in POSCAR format:
```
P2W2O11
1.0
-2.7490 -0.7540 -5.6858
2.7464 -7.1626 -0.3780
-6.4955 -2.6751 3.4952
P W O
4 4 22
Cartesian
-5.1671 -5.1265 -0.3794
-2.4663 -8.3501 2.2998
-1.2828 -1.4876 0.8175
-1.3309 -5.4652 -2.1892
-1.9017 -2.1124 -2.3579
-4.5964 -8.4794 -0.2106
-0.3418 -5.8058 0.9352
-3.4072 -4.0318 2.1820
-4.1881 -4.2007 0.3915
-2.6584 -2.3440 -4.1518
-1.2537 -6.1013 -0.7752
0.0156 -5.3611 -2.8540
-3.0800 -8.8625 -0.8930
-5.5323 -8.7121 -1.9178
-5.2444 -4.4904 -1.7933
-2.3310 -2.3697 1.4413
-1.4181 -7.4680 1.6760
-4.5116 -6.5306 -0.5101
-2.3100 -6.3911 -2.9600
-3.4180 -1.7292 -1.6756
-0.9658 -1.8797 -0.6507
-4.2562 -5.3891 2.7725
-1.9864 -4.0611 -2.0585
-4.7595 -2.6749 2.6559
0.5071 -4.4486 0.3448
-6.5137 -5.2307 0.2855
1.0104 -7.1628 0.4614
-1.8745 -4.9188 1.5586
-3.8396 -8.2478 1.5832
-1.3745 -0.3770 -2.8429
```

## Properties
SG: Pnnm (58)



b.
A plane-wave DFT calculation with SCAN was carried out for a PBEsol-optimized structure of P2W2O11.

The structure in POSCAR format:
```
P2W2O11
1.0
6.2799 0.0000 0.0000
0.0000 8.0570 0.0000
0.0000 0.0000 15.9125
P W O
8 8 44
Cartesian
4.7099 4.7551 9.3075
1.5700 3.3019 6.6050
1.5700 0.7266 14.5613
4.7099 7.3304 1.3512
4.7099 8.0482 12.0278
1.5700 0.0088 3.8847
1.5700 4.0197 11.8409
4.7099 4.0373 4.0716
1.5700 5.9023 8.9402
4.7099 2.1547 6.9723
4.7099 1.8738 14.9286
1.5700 6.1832 0.9839
1.5700 0.7467 11.1213
4.7099 7.3103 4.7912
4.7099 4.7752 12.7474
1.5700 3.2818 3.1651
1.5700 4.4129 7.6571
4.7099 3.6441 8.2554
4.7099 0.3844 0.2992
1.5700 7.6726 15.6133
1.5700 4.3252 10.3703
4.7099 3.7317 5.5422
4.7099 0.2967 13.4984
1.5700 7.7602 2.4141
2.7907 2.3805 6.8611
5.9307 5.6764 9.0514
3.4891 6.4090 1.0951
0.3492 1.6480 14.8174
3.4891 5.6764 9.0514
0.3492 2.3805 6.8611
1.5700 2.5050 12.1134
2.7907 1.6480 14.8174
1.5700 5.0572 2.5164
4.7099 2.9997 13.3961
4.7099 1.0288 5.4399
1.5700 7.0282 10.4727
1.5700 2.4632 1.6671
4.7099 5.5938 14.2454
4.7099 6.4917 6.2891
1.5700 1.5653 9.6234
1.5700 4.9169 15.7489
4.7099 3.1401 0.1636
4.7099 0.8884 8.1199
1.5700 7.1686 7.7926
5.9284 3.4049 3.3450
2.7884 4.6520 12.5676
0.3515 7.4334 4.6113
3.4915 0.6236 11.3012
0.3515 4.6520 12.5676
3.4915 3.4049 3.3450
5.9284 0.6236 11.3012
2.7884 7.4334 4.6113
1.5700 3.9015 5.2117
4.7099 4.1554 10.7008
4.7099 7.9300 2.7446
1.5700 0.1269 13.1680
1.5700 1.5235 4.1572
4.7099 6.5335 11.7553
4.7099 5.5519 3.7991
5.9307 6.4090 1.0951
```

## Properties
SG: Pnma (62)



c.
A plane-wave DFT calculation with SCAN was carried out for a PBEsol-optimized structure of P2W2O11.

The structure in POSCAR format:
```
P2W2O11
1.0
-1.4431 -4.9251 5.9565
7.4966 1.0703 2.2475
-3.5386 9.7159 7.1764
P W O
8 8 44
Cartesian
-0.4579 1.3128 3.5158
0.7253 9.0987 10.0308
2.4677 4.3145 6.4971
-0.1774 7.2994 6.5866
1.7897 -3.2375 5.3495
0.0472 1.5467 8.8832
2.9729 4.5484 11.8645
2.6923 -1.4383 8.7937
4.8259 -3.2889 6.8905
-2.3109 9.1500 8.4898
2.0198 6.2433 9.0999
3.7932 1.3796 5.5215
-1.2782 4.4815 9.8588
3.0752 1.5179 10.4409
-0.5603 4.3432 4.9394
0.4951 -0.3822 6.2804
1.0291 3.9811 6.0309
-0.8747 3.3195 11.6311
0.4034 5.0908 9.8632
-1.7693 4.8580 3.5882
2.5961 3.1070 11.4751
2.7586 -0.7674 2.5235
1.2520 7.6403 10.1974
-1.8944 5.8295 11.1442
0.0000 0.0000 0.0000
3.0687 5.4592 5.7280
4.4094 0.0316 4.2361
3.3355 7.1594 8.5083
1.7784 -0.9332 7.6592
1.2629 -1.7792 5.1829
-1.6782 3.5459 5.9528
-3.1315 3.5517 10.2039
5.7882 -2.0645 6.1926
2.1116 0.7704 5.5171
-0.7038 6.0628 5.8208
3.3896 2.5417 3.7492
-0.3935 0.4037 4.7783
5.6465 2.3095 5.1764
-0.5538 0.4019 9.6522
1.4858 1.8800 9.3494
2.3316 4.6761 8.0080
2.9085 5.4575 10.6020
-0.8205 -1.2983 6.8720
-3.2733 7.9257 9.1877
1.9052 5.0040 12.8763
0.7366 6.7943 7.7211
3.2188 -0.2016 9.5595
0.1833 1.1851 7.3723
-1.9095 5.2713 8.4783
3.9178 -2.1210 8.1418
-0.7998 2.8242 8.9244
0.6097 0.8571 2.5040
-0.0812 2.7541 3.9052
-0.2437 6.6286 12.8568
3.3148 3.0370 6.4559
1.4816 9.8170 8.9468
-1.4029 7.9821 7.2384
1.0333 -3.9558 6.4335
4.1931 2.3152 9.4275
4.4244 0.5898 6.9020
```

## Properties
SG: P2_1/m (11)



Most favorable structure: b. The second most favorable one is 5 meV/atom above it.



a.
A plane-wave DFT calculation with SCAN was carried out for a PBEsol-optimized structure of P2WO7.

The structure in POSCAR format:
```
P2WO7
1.0
-2.8970 -3.3335 2.2621
6.3482 -0.6521 2.9192
-2.0463 5.6552 5.7132
P W O
4 2 14
Cartesian
3.4060 -2.9822 4.4183
0.1425 3.7373 7.7447
0.4604 0.1486 5.3888
-1.0617 2.0556 3.8534
3.4782 0.2605 4.0858
-2.1027 1.4907 6.8911
5.0146 -0.0820 2.8461
4.6295 1.2673 5.4217
3.8230 -1.5676 4.8554
1.0727 2.7033 8.5451
1.9325 0.5590 5.3147
2.1482 -0.6261 2.8387
0.8295 3.9000 6.3953
0.2609 -1.3612 5.3773
-0.2127 0.8293 6.5745
-1.2632 3.1437 7.6337
-0.2807 0.6602 4.0607
-2.0523 2.2262 5.0177
-3.9066 2.2871 7.3770
-2.9158 -0.1662 6.1110
```

## Properties
SG: P2_1 (4)



b.
A plane-wave DFT calculation with SCAN was carried out for a PBEsol-optimized structure of P2WO7.

The structure in POSCAR format:
```
P2WO7
1.0
-5.7402 -5.8256 -1.4103
5.4992 -4.3418 -4.4479
2.3844 -4.0110 6.8632
P W O
8 4 28
Cartesian
0.8357 -5.5285 0.3919
4.8450 -6.8595 3.2390
-3.0485 -8.1092 2.4424
1.6544 -7.8594 -4.0633
1.3076 -8.6498 0.6131
-2.7017 -7.3188 -2.2340
5.1918 -6.0691 -1.4374
0.4889 -6.3189 5.0682
0.0000 0.0000 0.0000
-1.6779 -4.9183 2.7264
-0.1205 -5.0837 -2.9291
3.9418 -4.1764 1.2076
1.0717 -7.0892 0.5025
2.7496 -2.1709 -2.2240
1.1922 -2.0055 3.4316
-2.8701 -2.9128 -0.7052
1.4582 -5.4053 5.7832
-4.0104 -6.7637 -1.7197
5.2151 -5.4467 -2.8149
-0.3579 -5.5560 4.0752
1.2054 -7.4751 4.4084
-2.1576 -8.3892 -1.3154
2.4905 -8.9933 -0.2634
4.6011 -5.1246 -0.4155
1.5871 -8.9649 2.0650
-1.6883 -6.2204 -2.4618
0.0482 -9.3344 0.1328
4.4685 -7.3966 -1.4443
0.6852 -8.7731 -4.7782
6.1537 -7.4147 2.7247
-3.0718 -8.7316 3.8199
2.5013 -8.6224 -3.0703
0.9379 -6.7033 -3.4035
4.3010 -5.7892 2.3204
-0.3472 -5.1851 1.2683
-2.4578 -9.0538 1.4204
0.5562 -5.2135 -1.0600
3.8316 -7.9580 3.4668
2.0951 -4.8439 0.8721
-2.3252 -6.7817 2.4492
```

## Properties
SG: Pa-3 (205)



Most favorable structure: a. The second most favorable one is 25 meV/atom above it.